# La8Co2P

A geometry-optimized La8Co2P structure (PBE, the Alexandria database).

Cell: 8.0622 13.2623 6.5822 Å, 90.00 112.15 90.00°
Space group Cm (No. 8)
Unique sites:
1 La 0.0000 0.0000 0.0000
2 La 0.0730 0.3638 0.7896
3 La 0.1097 0.1353 0.5672
4 La 0.2010 0.5000 0.3797
5 La 0.3555 0.1981 0.1814
6 Co 0.3281 0.3087 0.6832
7 P 0.3428 0.0000 0.4057

Volume (Å³/atom): 29.63
DOS at the Fermi energy (states/eV/cell): 24.66

# La2CoP2

A geometry-optimized La2CoP2 structure (PBE, the Alexandria database).

Cell: 7.0280 7.0280 4.2891 Å, 90.00 90.00 90.00°
Space group P4/mbm (No. 127)
Unique sites:
1 La 0.1597 0.3403 0.0000
2 Co 0.0000 0.0000 0.5000
3 P 0.1579 0.6579 0.5000

E above lowest polymorph (meV/atom): 0
Volume (Å³/atom): 21.18
DOS at the Fermi energy (states/eV/cell): 8.83

# LaCo5P3

A geometry-optimized LaCo5P3 structure (PBE, the Alexandria database).

Cell: 3.6294 11.4630 11.4302 Å, 90.00 90.00 90.00°
Space group Cmcm (No. 63)
Unique sites:
1 La 0.0000 0.1622 0.2500
2 Co 0.0000 0.0000 0.0000
3 Co 0.0000 0.1980 0.5681
4 Co 0.0000 0.4458 0.1424
5 P 0.0000 0.1088 0.7500
6 P 0.0000 0.3829 0.5375

Volume (Å³/atom): 13.21
DOS at the Fermi energy (states/eV/cell): 29.31

# La2CoP2

A geometry-optimized La2CoP2 structure (PBE, the Alexandria database).

Cell: 5.8436 5.8436 8.1680 Å, 90.00 90.00 90.00°
Space group I4/mmm (No. 139)
Unique sites:
1 La 0.0000 0.5000 0.2500
2 Co 0.0000 0.0000 0.0000
3 P 0.0000 0.0000 0.2668

E above lowest polymorph (meV/atom): 170
Volume (Å³/atom): 27.89
DOS at the Fermi energy (states/eV/cell): 10.14

# LaCo9P4

A geometry-optimized LaCo9P4 structure (PBE, the Alexandria database).

Cell: 7.6954 7.6954 11.4294 Å, 90.00 90.00 90.00°
Space group I4/mcm (No. 140)
Unique sites:
1 La 0.0000 0.0000 0.2500
2 Co 0.0000 0.5000 0.0000
3 Co 0.0805 0.1965 0.0000
4 Co 0.1355 0.3645 0.1836
5 P 0.1641 0.3359 0.3759

Volume (Å³/atom): 12.09
DOS at the Fermi energy (states/eV/cell): 61.24

# LaPrCo4P4

A geometry-optimized LaPrCo4P4 structure (PBE, the Alexandria database).

Cell: 3.7837 3.7837 11.0439 Å, 90.00 90.00 90.00°
Space group P4/mmm (No. 123)
Unique sites:
1 La 0.0000 0.0000 0.0000
2 Pr 0.5000 0.5000 0.5000
3 Co 0.0000 0.5000 0.2536
4 P 0.0000 0.0000 0.3585
5 P 0.5000 0.5000 0.1489

Volume (Å³/atom): 15.81
DOS at the Fermi energy (states/eV/cell): 7.71

Calculated formation energy: -0.253; -0.775; -0.801; -0.605; -0.461; -0.983 (eV per atom)